Compound: NaThRe
Source: OQMD
Functional: PBE
Structure: optimized geometry

extended XYZ file:
```
3
Lattice="-1.534 2.869 3.428 -0.697 4.588 -0.895 -4.393 1.735 -0.160" Properties=species:S:1:pos:R:3 pbc="T T T"
Na -4.968 6.894 1.779
Re 0.000 0.000 0.000
Th -1.656 2.298 0.593
```

E_tot, eV per atom: -6.10
Magnetic moment, Bohr magnetons per cell: 0.00
Theoretical density, Mg/m³: 9.82



Compound: Er2In4CoCu
Source: OQMD
Functional: PBE
Structure: optimized geometry

extended XYZ file:
```
8
Lattice="-0.819 2.921 -6.721 -5.436 -1.617 -0.040 -4.903 2.347 1.618" Properties=species:S:1:pos:R:3 pbc="T T T"
Co -8.161 0.576 1.245
Er -10.019 2.139 -1.894
Er -0.696 0.049 0.106
In -6.878 1.333 -0.975
In -3.873 0.840 -0.764
In -4.368 2.605 -4.824
In -7.212 2.526 -3.721
Cu -2.608 1.616 -3.025
```

E_tot, eV per atom: -4.17
Magnetic moment, Bohr magnetons per cell: 0.00
Theoretical density, Mg/m³: 9.09



Compound: ZrCuNiB
Source: OQMD
Functional: PBE
Structure: optimized geometry

extended XYZ file:
```
4
Lattice="0.000 2.939 2.939 2.939 0.000 2.939 2.939 2.939 0.000" Properties=species:S:1:pos:R:3 pbc="T T T"
Cu 4.408 4.408 4.408
Ni 1.469 1.469 1.469
B 2.939 2.939 2.939
Zr 0.000 0.000 0.000
```

E_tot, eV per atom: -5.97
Magnetic moment, Bohr magnetons per cell: 0.00
Theoretical density, Mg/m³: 7.34



Compound: HfBeAs
Source: OQMD
Functional: PBE
Structure: optimized geometry

extended XYZ file:
```
3
Lattice="-2.009 -3.371 1.857 -4.334 -0.249 -0.066 -1.966 -2.983 -2.467" Properties=species:S:1:pos:R:3 pbc="T T T"
As -2.077 -1.651 -0.169
Be -6.232 -4.952 -0.507
Hf 0.000 0.000 0.000
```

E_tot, eV per atom: -5.84
Magnetic moment, Bohr magnetons per cell: 0.01
Theoretical density, Mg/m³: 7.53



Compound: Pr2Ta2Br2O7
Source: OQMD
Functional: PBE
Structure: optimized geometry

extended XYZ file:
```
13
Lattice="0.178 5.535 5.805 -3.051 3.394 6.599 4.028 -5.540 1.440" Properties=species:S:1:pos:R:3 pbc="T T T"
O 3.244 -3.601 3.482
O 1.795 0.235 7.935
O -2.088 6.989 10.363
O 2.014 -2.770 0.720
O 0.784 3.501 12.638
O -0.639 3.154 5.909
O 0.371 -0.112 1.207
Ta -1.955 7.499 12.280
Ta 3.111 -4.110 1.565
Br 0.342 2.873 9.146
Br 0.813 0.515 4.698
Pr -1.349 5.286 8.773
Pr 2.505 -1.897 5.071
```

E_tot, eV per atom: -8.32
Magnetic moment, Bohr magnetons per cell: 0.00
Theoretical density, Mg/m³: 7.69



Compound: GdDy2In3Pd3
Source: OQMD
Functional: PBE
Structure: optimized geometry

extended XYZ file:
```
9
Lattice="-2.599 1.100 2.623 -4.435 -6.024 -1.868 5.311 -0.681 5.548" Properties=species:S:1:pos:R:3 pbc="T T T"
In 2.858 -1.693 6.371
In -4.354 -5.646 0.883
In -0.650 -4.419 4.038
Dy 2.688 -4.243 4.442
Dy -1.294 -6.426 1.412
Gd 0.358 -2.742 1.504
Pd -2.495 -3.701 1.910
Pd 0.772 -1.910 4.396
Pd 0.876 -6.701 3.677
```

E_tot, eV per atom: -5.00
Magnetic moment, Bohr magnetons per cell: 0.00
Theoretical density, Mg/m³: 9.60



Compound: BaSiAg2Se3S
Source: OQMD
Functional: PBE
Structure: optimized geometry

extended XYZ file:
```
8
Lattice="-3.416 5.516 0.881 -0.226 -0.431 -6.530 -2.398 -5.146 3.098" Properties=species:S:1:pos:R:3 pbc="T T T"
Se -2.087 -2.414 1.039
Se -1.788 2.191 -5.077
Se -2.988 4.427 -2.290
Ba -6.005 -0.039 -2.553
Si -1.860 2.477 -2.788
Ag -2.239 -1.451 -3.100
Ag -3.792 1.445 0.509
S -2.824 0.807 -1.863
```

E_tot, eV per atom: -4.26
Theoretical density, Mg/m³: 5.15



Compound: CuAsPb
Source: OQMD
Functional: PBE
Structure: optimized geometry

extended XYZ file:
```
6
Lattice="-2.611 1.804 -2.719 -2.239 -3.524 -0.189 -4.256 2.400 5.679" Properties=species:S:1:pos:R:3 pbc="T T T"
Cu 0.000 0.000 0.000
Cu -2.425 -0.860 -1.454
As -4.693 2.813 3.161
As -1.988 -1.272 1.064
Pb -2.699 1.688 0.500
Pb -3.982 -0.147 3.725
```

E_tot, eV per atom: -4.00
Theoretical density, Mg/m³: 8.78



Compound: Nb4TlSnC2
Source: OQMD
Functional: PBE
Structure: optimized geometry

extended XYZ file:
```
8
Lattice="-2.556 -1.996 -0.255 2.761 -1.058 1.356 -4.619 4.285 12.746" Properties=species:S:1:pos:R:3 pbc="T T T"
Sn 0.000 0.000 0.000
Nb -1.514 1.404 4.177
Nb -3.105 2.881 8.569
Nb -1.541 -0.980 2.374
Nb -4.644 1.899 10.937
C -2.489 1.856 10.417
C -0.152 -0.312 3.968
Tl -3.093 0.459 6.655
```

E_tot, eV per atom: -8.49
Magnetic moment, Bohr magnetons per cell: 0.01
Theoretical density, Mg/m³: 9.16



Compound: Li4PtO4
Source: OQMD
Functional: PBE
Structure: optimized geometry

extended XYZ file:
```
18
Lattice="4.334 -3.232 0.000 4.334 3.232 0.000 0.000 0.000 6.533" Properties=species:S:1:pos:R:3 pbc="T T T"
O 4.334 -1.512 3.485
O 1.913 -0.633 4.900
O 6.755 0.633 1.633
O 1.913 0.633 1.633
O 4.334 1.512 3.048
O 4.334 1.512 0.219
O 6.755 -0.633 4.900
O 4.334 -1.512 6.315
Li 5.555 2.045 1.633
Li 2.963 0.000 0.000
Li 5.705 0.000 0.000
Li 2.963 0.000 3.267
Li 3.113 2.045 1.633
Li 5.705 0.000 3.267
Li 5.555 -2.045 4.900
Li 3.113 -2.045 4.900
Pt 4.334 2.057 4.900
Pt 4.334 -2.057 1.633
```

E_tot, eV per atom: -5.04
Magnetic moment, Bohr magnetons per cell: 4.00
Theoretical density, Mg/m³: 5.20



Compound: RbIrS
Source: OQMD
Functional: PBE
Structure: optimized geometry

extended XYZ file:
```
9
Lattice="-1.329 2.759 2.486 -1.975 -0.776 -3.325 -8.943 -11.510 7.996" Properties=species:S:1:pos:R:3 pbc="T T T"
S -2.981 -3.837 2.665
S -5.962 -7.673 5.330
S -1.545 1.581 0.549
Ir -4.523 -2.252 3.212
Ir 0.000 0.000 0.000
Ir -7.509 -6.096 5.881
Rb -6.231 -5.352 2.609
Rb -9.212 -9.189 5.275
Rb -3.250 -1.516 -0.056
```

E_tot, eV per atom: -4.86
Magnetic moment, Bohr magnetons per cell: 0.00
Theoretical density, Mg/m³: 6.89



Compound: Nd2Mg
Source: OQMD
Functional: PBE
Structure: optimized geometry

extended XYZ file:
```
6
Lattice="-0.568 2.787 -2.197 -2.377 -0.764 2.585 8.461 10.247 10.812" Properties=species:S:1:pos:R:3 pbc="T T T"
Nd 3.209 6.908 4.995
Nd 0.183 3.243 1.127
Nd 2.877 3.484 3.676
Nd 8.311 10.065 10.620
Mg 5.749 6.962 7.346
Mg 5.772 10.012 8.269
```

E_tot, eV per atom: -3.64
Magnetic moment, Bohr magnetons per cell: 0.09
Theoretical density, Mg/m³: 5.42